YZn6CuPd, relaxed, DFT GGA-PBE; E = -2.57 eV/atom; SG = No. 74; formation enthalpy at 0 K = 0.0260 eV per atom
1.0
-2.593 4.900 6.907
2.593 -4.900 6.907
2.593 4.900 -6.907
Y Zn Cu Pd
2 12 2 2
Cartesian
0.000 2.450 1.595 Y
2.593 2.450 5.312 Y
1.302 -0.168 2.136 Zn
3.883 -0.168 2.136 Zn
2.593 -2.450 5.667 Zn
2.593 2.450 -0.826 Zn
1.302 4.733 -2.136 Zn
1.290 -0.168 4.771 Zn
1.302 5.068 2.136 Zn
1.290 0.168 9.042 Zn
0.000 2.450 7.732 Zn
0.000 7.350 1.239 Zn
-1.290 5.068 4.771 Zn
1.290 5.068 4.771 Zn
2.593 0.000 0.000 Cu
0.000 0.000 6.907 Cu
1.296 2.450 -3.453 Pd
1.296 -2.450 3.453 Pd